This record from Alexandria via LeMat-Bulk describes a geometry-optimized ScCdPb2 structure. The functional is PBE.

The density of states at the Fermi level is 4.02 states/eV/cell. The uncorrected energy comes out at -30.4 eV/cell. Its energy of formation is -0.14 eV per atom.

The structure belongs to space group Imm2 (No. 44); the cell edges are 3.599, 5.187 and 11.127 Å and the angles 90.00°, 90.00° and 90.00°. The asymmetric unit holds Sc at (0.000, 0.000, 0.000), Cd at (0.000, 0.500, 0.730), Pb at (0.000, 0.000, 0.483) and Pb at (0.000, 0.500, 0.253).